a.
A plane-wave DFT calculation with GGA-PBE was carried out for a geometry-optimized ReMoPt structure.

The structure belongs to space group I4mm (No. 107); the cell edges are 2.778, 2.778 and 11.972 Å and the angles 90.00°, 90.00° and 90.00°. The asymmetric unit holds Re at (0.000, 0.000, 0.000), Mo at (0.000, 0.000, 0.659) and Pt at (0.000, 0.000, 0.332).

The density of states at the Fermi level comes out at 0.771 states/eV per atom.

---

b.
A plane-wave DFT calculation with GGA-PBE was carried out for a geometry-optimized ReMoPt structure.

The structure belongs to space group Imm2 (No. 44); the cell edges are 2.664, 4.113 and 8.424 Å and the angles 90.00°, 90.00° and 90.00°. The asymmetric unit holds Re at (0.000, 0.000, 0.000), Mo at (0.000, 0.000, 0.664) and Pt at (0.000, 0.000, 0.334).

The density of states at the Fermi level comes out at 0.881 states/eV per atom.

---

The computed energies, referenced to the most stable structure and given in meV per atom, are a 22; b 0.

---

a.
A plane-wave DFT calculation with GGA-PBE was carried out for a geometry-optimized Re2MoPt structure.

The structure belongs to space group I4/mmm (No. 139); the cell edges are 3.942, 3.942 and 7.828 Å and the angles 90.00°, 90.00° and 90.00°. The asymmetric unit holds Re at (0.000, 0.500, 0.250), Mo at (0.000, 0.000, 0.000) and Pt at (0.000, 0.000, 0.500).

The density of states at the Fermi level comes out at 0.782 states/eV per atom.

---

b.
A plane-wave DFT calculation with GGA-PBE was carried out for a geometry-optimized Re2MoPt structure.

The structure belongs to space group R-3m (No. 166, hexagonal axes); the cell edges are 2.7780, 2.7780 and 27.5208 Å and the angles 90.00°, 90.00° and 120.00°. The asymmetric unit holds Re at (0.0000, 0.0000, 0.2494), Mo at (0.0000, 0.0000, 0.5000) and Pt at (0.0000, 0.0000, 0.0000).

The density of states at the Fermi level comes out at 0.986 states/eV per atom.

---

The computed energies, referenced to the most stable structure and given in meV per atom, are a 0; b 135.

---

a.
A plane-wave DFT calculation with GGA-PBE was carried out for a geometry-optimized Mo2PtRh structure.

The structure belongs to space group C2/m (No. 12); the cell edges are 9.329, 2.789 and 4.772 Å and the angles 90.00°, 100.27° and 90.00°. The asymmetric unit holds Mo at (0.249, 0.000, 0.246), Pt at (0.000, 0.000, 0.500) and Rh at (0.000, 0.500, 0.000).

The density of states at the Fermi level comes out at 1.161 states/eV per atom.

---

b.
A plane-wave DFT calculation with GGA-PBE was carried out for a geometry-optimized Mo2PtRh structure.

The structure belongs to space group P4/mmm (No. 123); the cell edges are 3.866, 3.866 and 4.051 Å and the angles 90.00°, 90.00° and 90.00°. The asymmetric unit holds Mo at (0.000, 0.500, 0.000), Pt at (0.000, 0.000, 0.500) and Rh at (0.500, 0.500, 0.500).

The density of states at the Fermi level comes out at 0.663 states/eV per atom.

---

c.
A plane-wave DFT calculation with GGA-PBE was carried out for a geometry-optimized Mo2PtRh structure.

The structure belongs to space group Pmm2 (No. 25); the cell edges are 2.756, 4.470 and 4.907 Å and the angles 90.00°, 90.00° and 90.00°. The asymmetric unit holds Mo at (0.000, 0.000, 0.000), Mo at (0.000, 0.500, 0.333), Pt at (0.500, 0.500, 0.833) and Rh at (0.500, 0.000, 0.495).

The density of states at the Fermi level comes out at 0.496 states/eV per atom.

---

The computed energies, referenced to the most stable structure and given in meV per atom, are a 203; b 34; c 0.